(1)
Density functional theory data (PBE-GGA) for crystalline Tb3SmGa2 at its relaxed geometry.

abc: 5.009 9.544 6.609
angles: 90.00 90.00 90.00
Fractional positions:
Tb 0.000 0.052 0.000
Tb 0.000 0.320 0.356
Tb 0.000 0.680 0.856
Tb 0.000 0.948 0.500
Tb 0.500 0.175 0.707
Tb 0.500 0.825 0.207
Sm 0.500 0.451 0.064
Sm 0.500 0.549 0.564
Ga 0.000 0.356 0.819
Ga 0.000 0.644 0.319
Ga 0.500 0.142 0.242
Ga 0.500 0.858 0.742

Values from the calculation:
Space-group type: Pmc2_1, No. 26
DOS at the Fermi energy, states/eV/atom: 0.961

(2)
Density functional theory data (PBE-GGA) for crystalline TbSm2Ga at its relaxed geometry.

abc: 10.565 10.565 10.565
angles: 20.05 20.05 20.05
Fractional positions:
Tb 0.000 0.000 0.000
Sm 0.238 0.238 0.238
Sm 0.429 0.429 0.429
Ga 0.834 0.834 0.834

Values from the calculation:
Space-group type: R3m, No. 160
DOS at the Fermi energy, states/eV/atom: 1.149

(3)
Density functional theory data (PBE-GGA) for crystalline TbSmGa2 at its relaxed geometry.

abc: 9.000 9.000 9.000
angles: 23.83 23.83 23.83
Fractional positions:
Tb 0.000 0.000 0.000
Sm 0.500 0.500 0.500
Ga 0.251 0.251 0.251
Ga 0.749 0.749 0.749

Values from the calculation:
Space-group type: R-3m, No. 166
DOS at the Fermi energy, states/eV/atom: 0.523

(4)
Density functional theory data (PBE-GGA) for crystalline TbSm2Ga3 at its relaxed geometry.

abc: 10.847 10.847 6.249
angles: 90.00 90.00 155.29
Fractional positions:
Tb 0.176 0.824 0.750
Tb 0.824 0.176 0.250
Sm 0.356 0.644 0.750
Sm 0.466 0.534 0.250
Sm 0.534 0.466 0.750
Sm 0.644 0.356 0.250
Ga 0.062 0.938 0.046
Ga 0.062 0.938 0.454
Ga 0.240 0.760 0.250
Ga 0.760 0.240 0.750
Ga 0.938 0.062 0.546
Ga 0.938 0.062 0.954

Values from the calculation:
Space-group type: Cmcm, No. 63
DOS at the Fermi energy, states/eV/atom: 0.874

(5)
Density functional theory data (PBE-GGA) for crystalline Tb2SmGa6 at its relaxed geometry.

abc: 7.322 7.322 4.172
angles: 90.00 90.00 120.00
Fractional positions:
Tb 0.333 0.667 0.000
Tb 0.667 0.333 0.000
Sm 0.000 0.000 0.000
Ga 0.000 0.334 0.500
Ga 0.000 0.666 0.500
Ga 0.334 0.000 0.500
Ga 0.334 0.334 0.500
Ga 0.666 0.000 0.500
Ga 0.666 0.666 0.500

Values from the calculation:
Space-group type: P6/mmm, No. 191
DOS at the Fermi energy, states/eV/atom: 0.642

(6)
Density functional theory data (PBE-GGA) for crystalline Tb2SmGa9 at its relaxed geometry.

abc: 4.304 4.304 12.908
angles: 90.00 90.00 90.00
Fractional positions:
Tb 0.000 0.000 0.165
Tb 0.000 0.000 0.835
Sm 0.000 0.000 0.500
Ga 0.000 0.500 0.000
Ga 0.000 0.500 0.331
Ga 0.000 0.500 0.669
Ga 0.500 0.000 0.000
Ga 0.500 0.000 0.331
Ga 0.500 0.000 0.669
Ga 0.500 0.500 0.167
Ga 0.500 0.500 0.500
Ga 0.500 0.500 0.833

Values from the calculation:
Space-group type: P4/mmm, No. 123
DOS at the Fermi energy, states/eV/atom: 0.404

(7)
Density functional theory data (PBE-GGA) for crystalline Tb2SmGa at its relaxed geometry.

abc: 4.774 4.774 4.742
angles: 90.00 90.00 90.00
Fractional positions:
Tb 0.000 0.500 0.000
Tb 0.500 0.000 0.000
Sm 0.000 0.000 0.500
Ga 0.500 0.500 0.500

Values from the calculation:
Space-group type: P4/mmm, No. 123
DOS at the Fermi energy, states/eV/atom: 1.665

(8)
Density functional theory data (PBE-GGA) for crystalline Tb3SmGa3 at its relaxed geometry.

abc: 9.254 9.254 4.796
angles: 90.00 90.00 120.00
Fractional positions:
Tb 0.018 0.257 0.250
Tb 0.239 0.982 0.250
Tb 0.257 0.239 0.750
Tb 0.743 0.761 0.250
Tb 0.761 0.018 0.750
Tb 0.982 0.743 0.750
Sm 0.333 0.667 0.750
Sm 0.667 0.333 0.250
Ga 0.057 0.607 0.250
Ga 0.393 0.449 0.250
Ga 0.449 0.057 0.750
Ga 0.551 0.943 0.250
Ga 0.607 0.551 0.750
Ga 0.943 0.393 0.750

Values from the calculation:
Space-group type: P6_3/m, No. 176
DOS at the Fermi energy, states/eV/atom: 0.780

(9)
Density functional theory data (PBE-GGA) for crystalline TbSm2Ga3 at its relaxed geometry.

abc: 5.125 5.125 12.606
angles: 90.00 90.00 120.00
Fractional positions:
Tb 0.333 0.667 0.167
Tb 0.667 0.333 0.833
Sm 0.000 0.000 0.000
Sm 0.000 0.000 0.500
Sm 0.333 0.667 0.669
Sm 0.667 0.333 0.331
Ga 0.000 0.000 0.248
Ga 0.000 0.000 0.752
Ga 0.333 0.667 0.416
Ga 0.333 0.667 0.918
Ga 0.667 0.333 0.082
Ga 0.667 0.333 0.584

Values from the calculation:
Space-group type: P-3m1, No. 164
DOS at the Fermi energy, states/eV/atom: 0.417

(10)
Density functional theory data (PBE-GGA) for crystalline TbSm2Ga9 at its relaxed geometry.

abc: 4.321 4.321 12.965
angles: 90.00 90.00 90.00
Fractional positions:
Tb 0.000 0.000 0.000
Sm 0.000 0.000 0.332
Sm 0.000 0.000 0.668
Ga 0.000 0.500 0.164
Ga 0.000 0.500 0.500
Ga 0.000 0.500 0.836
Ga 0.500 0.000 0.164
Ga 0.500 0.000 0.500
Ga 0.500 0.000 0.836
Ga 0.500 0.500 0.000
Ga 0.500 0.500 0.333
Ga 0.500 0.500 0.667

Values from the calculation:
Space-group type: P4/mmm, No. 123
DOS at the Fermi energy, states/eV/atom: 0.447

(11)
Density functional theory data (PBE-GGA) for crystalline TbSm2Ga at its relaxed geometry.

abc: 3.576 3.576 9.014
angles: 90.00 90.00 90.00
Fractional positions:
Tb 0.000 0.000 0.000
Sm 0.500 0.500 0.289
Sm 0.500 0.500 0.711
Ga 0.000 0.000 0.500

Values from the calculation:
Space-group type: P4/mmm, No. 123
DOS at the Fermi energy, states/eV/atom: 1.033

(12)
Density functional theory data (PBE-GGA) for crystalline TbSm5Ga4 at its relaxed geometry.

abc: 8.966 8.966 8.879
angles: 95.31 95.31 24.17
Fractional positions:
Tb 0.000 0.000 0.000
Sm 0.000 0.000 0.500
Sm 0.314 0.314 0.655
Sm 0.349 0.349 0.213
Sm 0.651 0.651 0.787
Sm 0.686 0.686 0.345
Ga 0.185 0.185 0.061
Ga 0.478 0.478 0.748
Ga 0.522 0.522 0.252
Ga 0.815 0.815 0.939

Values from the calculation:
Space-group type: C2/m, No. 12
DOS at the Fermi energy, states/eV/atom: 0.937

Number 1: M_tot 0.00 μB/f.u., formation energy from the elements -416 meV/atom, calculated density 8.06 g/cm3. Number 2: M_tot 0.52 μB/f.u., formation energy from the elements -165 meV/atom, calculated density 7.25 g/cm3. Number 3: M_tot 0.00 μB/f.u., formation energy from the elements -407 meV/atom, calculated density 7.13 g/cm3. Number 4: M_tot 0.00 μB/f.u., formation energy from the elements -490 meV/atom, calculated density 7.23 g/cm3. Number 5: M_tot 0.00 μB/f.u., formation energy from the elements -659 meV/atom, calculated density 7.60 g/cm3. Number 6: M_tot 0.00 μB/f.u., formation energy from the elements -538 meV/atom, calculated density 7.61 g/cm3. Number 7: M_tot 0.20 μB/f.u., formation energy from the elements -236 meV/atom, calculated density 8.26 g/cm3. Number 8: M_tot 0.00 μB/f.u., formation energy from the elements -434 meV/atom, calculated density 7.81 g/cm3. Number 9: M_tot 0.00 μB/f.u., formation energy from the elements -575 meV/atom, calculated density 7.75 g/cm3. Number 10: M_tot 0.00 μB/f.u., formation energy from the elements -535 meV/atom, calculated density 7.46 g/cm3. Number 11: M_tot 0.00 μB/f.u., formation energy from the elements -249 meV/atom, calculated density 7.63 g/cm3. Number 12: M_tot 0.00 μB/f.u., formation energy from the elements -274 meV/atom, calculated density 6.79 g/cm3.